1.
Density functional theory data (PBE) for a relaxed LaSmLuSn crystal.

Values from the calculation:
Total magnetic moment (Bohr magnetons per cell): 0.00
Mass density (Mg/m³): 8.08
Space-group type: F-43m (216)
Energy relative to the elements (eV per formula unit): -1.1

The structure in extended XYZ format:
```
16
Lattice="7.825 0.000 0.000 0.000 7.825 0.000 0.000 0.000 7.825" Properties=species:S:1:pos:R:3 pbc="T T T"
La 0.000 0.000 0.000
La 0.000 3.912 3.912
La 3.912 0.000 3.912
La 3.912 3.912 0.000
Sm 0.000 0.000 3.912
Sm 0.000 3.912 0.000
Sm 3.912 0.000 0.000
Sm 3.912 3.912 3.912
Lu 1.956 1.956 1.956
Lu 1.956 5.869 5.869
Lu 5.869 1.956 5.869
Lu 5.869 5.869 1.956
Sn 1.956 1.956 5.869
Sn 1.956 5.869 1.956
Sn 5.869 1.956 1.956
Sn 5.869 5.869 5.869
```

2.
Density functional theory data (PBE) for a relaxed PrHgBr crystal.

Values from the calculation:
Total magnetic moment (Bohr magnetons per cell): 0.00
Mass density (Mg/m³): 6.90
Uncorrected formation energy (eV per atom): -1.00
Space-group type: C2/m (12)

The structure in extended XYZ format:
```
12
Lattice="7.521 0.000 0.000 0.000 4.353 0.000 -0.339 0.000 12.385" Properties=species:S:1:pos:R:3 pbc="T T T"
Pr -0.004 0.000 2.629
Pr 3.426 2.176 9.756
Pr 3.756 2.176 2.629
Pr 7.186 0.000 9.756
Hg 0.917 2.176 11.614
Hg 2.505 0.000 0.771
Hg 4.677 0.000 11.614
Hg 6.265 2.176 0.771
Br 1.247 2.176 4.419
Br 2.174 0.000 7.966
Br 5.008 0.000 4.419
Br 5.935 2.176 7.966
```

3.
Density functional theory data (PBE) for a relaxed MnRhSe2 crystal.

Values from the calculation:
Total magnetic moment (Bohr magnetons per cell): 8.58
Mass density (Mg/m³): 7.12
Uncorrected formation energy (eV per atom): 0.01
Space-group type: I4/mmm (139)

The structure in extended XYZ format:
```
8
Lattice="5.121 0.000 0.000 0.000 5.121 0.000 0.000 0.000 5.614" Properties=species:S:1:pos:R:3 pbc="T T T"
Mn 0.000 0.000 0.000
Mn 2.561 2.561 2.807
Rh 0.000 0.000 2.807
Rh 2.561 2.561 0.000
Se 0.000 2.561 0.000
Se 0.000 2.561 2.807
Se 2.561 0.000 0.000
Se 2.561 0.000 2.807
```

4.
Density functional theory data (PBE) for a relaxed Zr2NpSc crystal.

Values from the calculation:
Total magnetic moment (Bohr magnetons per cell): 3.88
Mass density (Mg/m³): 8.27
Space-group type: P4/mmm (123)
Energy relative to the elements (eV per formula unit): 1.2

The structure in extended XYZ format:
```
4
Lattice="3.730 0.000 0.000 0.000 3.730 0.000 0.000 0.000 6.702" Properties=species:S:1:pos:R:3 pbc="T T T"
Zr 0.000 0.000 1.523
Zr 0.000 0.000 5.179
Np 1.865 1.865 0.000
Sc 1.865 1.865 3.351
```

5.
Density functional theory data (PBE) for a relaxed CaSc3Se crystal.

Values from the calculation:
Total magnetic moment (Bohr magnetons per cell): 0.00
Mass density (Mg/m³): 3.04
Uncorrected formation energy (eV per atom): -0.39
Space-group type: Pm-3m (221)

The structure in extended XYZ format:
```
5
Lattice="5.178 0.000 0.000 0.000 5.178 0.000 0.000 0.000 5.178" Properties=species:S:1:pos:R:3 pbc="T T T"
Ca 0.000 0.000 0.000
Sc 0.000 2.589 2.589
Sc 2.589 0.000 2.589
Sc 2.589 2.589 0.000
Se 2.589 2.589 2.589
```

6.
Density functional theory data (PBE) for a relaxed Ca2InGe2Pd5 crystal.

Values from the calculation:
Total magnetic moment (Bohr magnetons per cell): 0.00
Mass density (Mg/m³): 7.69
Space-group type: P4/mbm (127)
Energy relative to the elements (eV per formula unit): -6.6

The structure in extended XYZ format:
```
20
Lattice="10.298 0.000 0.000 0.000 10.298 0.000 0.000 0.000 3.553" Properties=species:S:1:pos:R:3 pbc="T T T"
Ca 1.797 3.352 0.000
Ca 3.352 8.501 0.000
Ca 6.946 1.797 0.000
Ca 8.501 6.946 0.000
In 0.000 0.000 0.000
In 5.149 5.149 0.000
Ge 1.294 6.443 0.000
Ge 3.855 1.294 0.000
Ge 6.443 9.004 0.000
Ge 9.004 3.855 0.000
Pd 0.000 5.149 1.776
Pd 0.616 8.154 1.776
Pd 2.144 0.616 1.776
Pd 3.005 5.765 1.776
Pd 4.533 3.005 1.776
Pd 5.149 0.000 1.776
Pd 5.765 7.293 1.776
Pd 7.293 4.533 1.776
Pd 8.154 9.682 1.776
Pd 9.682 2.144 1.776
```

- Look up the mass density of the third one.
  7.12 Mg/m³

- Which formula does entry 2 have?
  PrHgBr